[1]
VASP calculation (PBE) on a geometry-optimized Li2TlPt structure.

CIF file:
```
data_Li2TlPt
_chemical_formula_sum 'Li6 Tl3 Pt3'
_space_group_name_H-M_alt 'R -3 m'
_space_group_IT_number 166
_space_group_name_Hall '-R 3 2"'
_cell_length_a 3.0777
_cell_length_b 3.0777
_cell_length_c 26.4947
_cell_angle_alpha 90.00
_cell_angle_beta 90.00
_cell_angle_gamma 120.00
loop_
_atom_site_label
_atom_site_fract_x
_atom_site_fract_y
_atom_site_fract_z
Li1 0.0000 0.0000 0.2389
Tl1 0.0000 0.0000 0.0000
Pt1 0.0000 0.0000 0.5000
```

Results
- ΔH_f (0 K) (eV/atom) = -0.197

---

[2]
VASP calculation (PBE) on a geometry-optimized Ac7Tl2Ag2 structure.

CIF file:
```
data_Ac7Tl2Ag2
_chemical_formula_sum 'Ac14 Tl4 Ag4'
_space_group_name_H-M_alt 'C m m m'
_space_group_IT_number 65
_space_group_name_Hall '-C 2 2'
_cell_length_a 8.7667
_cell_length_b 12.3259
_cell_length_c 8.0226
_cell_angle_alpha 90.00
_cell_angle_beta 90.00
_cell_angle_gamma 90.00
loop_
_atom_site_label
_atom_site_fract_x
_atom_site_fract_y
_atom_site_fract_z
Ac1 0.0000 0.0000 0.0000
Ac2 0.0000 0.5000 0.2504
Ac3 0.2500 0.2500 0.2732
Tl1 0.1717 0.0000 0.5000
Ag1 0.0000 0.2886 0.0000
```

Results
- ΔH_f (0 K) (eV/atom) = -0.021

---

[3]
VASP calculation (PBE) on a geometry-optimized Dy4CuHg structure.

CIF file:
```
data_Dy4CuHg
_chemical_formula_sum 'Dy8 Cu2 Hg2'
_space_group_name_H-M_alt 'P 1 21/c 1'
_space_group_IT_number 14
_cell_length_a 6.9935
_cell_length_b 7.4784
_cell_length_c 6.7355
_cell_angle_alpha 90.00
_cell_angle_beta 96.26
_cell_angle_gamma 90.00
loop_
_space_group_symop_operation_xyz
'x,y,z'
'-x,-y,-z'
'-x,y+1/2,-z+1/2'
'x,-y+1/2,z+1/2'
loop_
_atom_site_label
_atom_site_fract_x
_atom_site_fract_y
_atom_site_fract_z
Dy1 0.1501 0.1672 0.1753
Dy2 0.3360 0.6510 0.0964
Cu1 0.0000 0.0000 0.5000
Hg1 0.5000 0.0000 0.0000
```

Results
- ΔH_f (0 K) (eV/atom) = -0.040
- energy above the lowest structure with this stoichiometry (meV per atom) = 168

---

[4]
VASP calculation (PBE) on a geometry-optimized Mg2GaOs structure.

CIF file:
```
data_Mg2GaOs
_chemical_formula_sum 'Mg8 Ga4 Os4'
_space_group_name_H-M_alt 'I -4 2 d'
_space_group_IT_number 122
_space_group_name_Hall 'I -4 2bw'
_cell_length_a 3.8241
_cell_length_b 3.8241
_cell_length_c 19.1985
_cell_angle_alpha 90.00
_cell_angle_beta 90.00
_cell_angle_gamma 90.00
loop_
_atom_site_label
_atom_site_fract_x
_atom_site_fract_y
_atom_site_fract_z
Mg1 0.2386 0.2500 0.1250
Ga1 0.0000 0.0000 0.5000
Os1 0.0000 0.0000 0.0000
```

Results
- ΔH_f (0 K) (eV/atom) = 0.479

---

> ΔH_f (0 K) of number 1 (Li2TlPt)?

-0.197 eV/atom

---

> ΔH_f (0 K) of number 1 (Li2TlPt)?

-0.197 eV/atom

---

> Which of these has the highest ΔH_f (0 K)?

Mg2GaOs